Entry 1:
Below is an optimized crystal structure of TiHPd2Ru, with properties calculated at the PBE-GGA level.

## Properties
As for the raw total energy: -6.526 eV/atom. Its magnetization is 0.00 μB/f.u. The space group is P4/mmm.

Cell and atoms, written as POSCAR:
```
TiHPd2Ru
1.0
3.902 0.000 0.000
0.000 3.902 0.000
0.000 0.000 4.058
Ti H Pd Ru
1 1 2 1
Direct
0.000 0.000 0.000 Ti
0.500 0.500 0.500 H
0.000 0.500 0.500 Pd
0.500 0.000 0.500 Pd
0.500 0.500 0.000 Ru
```

Entry 2:
Below is an optimized crystal structure of K2IrPtO6, with properties calculated at the PBE-GGA level.

## Properties
Its magnetization is 0.80 μB/f.u. As for the formation energy (no corrections): -7.23 eV/f.u. The space group is P4mm.

Cell and atoms, written as POSCAR:
```
K2IrPtO6
1.0
5.570 0.000 0.000
0.000 5.570 0.000
0.000 0.000 4.304
K Ir Pt O
2 1 1 6
Direct
0.000 0.500 0.000 K
0.500 0.000 0.000 K
0.000 0.000 0.467 Ir
0.500 0.500 0.491 Pt
0.000 0.000 0.036 O
0.240 0.240 0.545 O
0.240 0.760 0.545 O
0.500 0.500 0.020 O
0.760 0.240 0.545 O
0.760 0.760 0.545 O
```

magnetization of number 1 (TiHPd2Ru)? 0.00 μB/f.u.